# 1
Below is a geometry-optimized LiLaMo structure, with properties calculated at the PBE level.

Polymorph energy (0 for the lowest one): 70.4 meV/atom
Calculated volume: 21.3 Å³ per atom
E_form: 0.64 eV/atom

Unit cell a=3.571 b=3.571 c=10.041 alpha=90.00 beta=90.00 gamma=90.00
Space group I4mm (No. 107)
Unique sites:
Li 0.000 0.000 0.000 x2
La 0.000 0.000 0.695 x2
Mo 0.000 0.000 0.381 x2

# 2
Below is a geometry-optimized LiLaMo2 structure, with properties calculated at the PBE level.

Polymorph energy (0 for the lowest one): 445.2 meV/atom
Calculated volume: 19.1 Å³ per atom
E_form: 0.78 eV/atom

Unit cell a=3.062 b=4.723 c=10.545 alpha=90.00 beta=90.00 gamma=90.00
Space group Cmmm (No. 65)
Unique sites:
Li 0.000 0.000 0.000 x2
La 0.000 0.000 0.500 x2
Mo 0.000 0.500 0.230 x4

# 3
Below is a geometry-optimized LiLaMo2 structure, with properties calculated at the PBE level.

Polymorph energy (0 for the lowest one): 598.0 meV/atom
Calculated volume: 19.7 Å³ per atom
E_form: 0.93 eV/atom

Unit cell a=7.960 b=7.960 c=4.971 alpha=90.00 beta=90.00 gamma=90.00
Space group I-42d (No. 122)
Unique sites:
Li 0.000 0.000 0.000 x4
La 0.000 0.000 0.500 x4
Mo 0.204 0.250 0.125 x8